[1]
{"formula": "OsPt2Au", "functional": "meta-GGA SCAN", "state": "PBEsol geometry", "lattice": [[-0.297, -0.951, 2.568], [4.489, 1.562, -0.380], [-2.150, 4.184, 1.300]], "species": ["Pt", "Os", "Pt", "Au"], "fractional_positions": [[0.006, 0.011, 0.015], [0.745, 0.491, 0.232], [0.253, 0.506, 0.751], [0.496, 0.992, 0.503]], "e_above_lowest_polymorph_ev_per_fu": 0.07, "sg": "Cm, No. 8"}

---

[2]
{"formula": "OsPt4Au", "functional": "meta-GGA SCAN", "state": "PBEsol geometry", "lattice": [[-3.682, 2.081, -2.959], [0.001, -0.839, -5.093], [-3.616, -3.012, -2.120]], "species": ["Pt", "Pt", "Au", "Pt", "Os", "Pt"], "fractional_positions": [[0.875, 0.375, 0.375], [0.375, 0.375, 0.375], [0.750, 0.750, 0.750], [0.375, 0.875, 0.375], [0.000, 0.000, 0.000], [0.375, 0.375, 0.875]], "sg": "F-43m, No. 216"}

---

[3]
{"formula": "OsPtAu", "functional": "meta-GGA SCAN", "state": "PBEsol geometry", "lattice": [[-0.470, 1.946, -1.892], [-1.458, -2.708, -2.423], [-2.890, 1.015, 3.768]], "species": ["Pt", "Os", "Au"], "fractional_positions": [[0.327, 0.327, 0.654], [0.672, 0.672, 0.343], [0.001, 0.001, 0.003]], "e_above_lowest_polymorph_ev_per_fu": 0.00, "sg": "Imm2, No. 44"}

---

[4]
{"formula": "OsPtAu2", "functional": "meta-GGA SCAN", "state": "PBEsol geometry", "lattice": [[-1.241, 2.499, 0.177], [-2.548, 0.218, 1.130], [2.514, 2.195, 8.703]], "species": ["Pt", "Au", "Os", "Au"], "fractional_positions": [[0.000, 0.000, 0.000], [0.249, 0.249, 0.254], [0.500, 0.500, 0.500], [0.751, 0.751, 0.746]], "e_above_lowest_polymorph_ev_per_fu": 0.00, "sg": "R-3m, No. 166"}

---

[5]
{"formula": "OsPt2Au", "functional": "meta-GGA SCAN", "state": "PBEsol geometry", "lattice": [[3.956, 0.000, 0.000], [0.000, 3.956, 0.000], [-1.978, -1.978, 3.855]], "species": ["Pt", "Au", "Pt", "Os"], "fractional_positions": [[0.750, 0.250, 0.500], [0.500, 0.500, 0.000], [0.000, 0.000, 0.000], [0.250, 0.750, 0.500]], "e_above_lowest_polymorph_ev_per_fu": 0.43, "sg": "I-4m2, No. 119"}

---

[6]
{"formula": "OsPtAu2", "functional": "meta-GGA SCAN", "state": "PBEsol geometry", "lattice": [[-0.635, 1.900, 1.832], [-1.532, -3.433, 3.028], [5.527, 0.440, -0.551]], "species": ["Au", "Au", "Pt", "Os"], "fractional_positions": [[0.246, 0.246, 0.493], [0.754, 0.754, 0.507], [0.000, 0.500, 0.000], [0.500, 0.000, 0.000]], "e_above_lowest_polymorph_ev_per_fu": 0.23, "sg": "Immm, No. 71"}

---

DFT formation energy in eV/atom, matching the order above: 0.28, 0.62, 0.50, 0.39, 0.37, 0.45
N(E_F) in states/eV/cell, matching the order above: 3.59, 3.84, 4.06, 3.86, 2.96, 3.49
VASP energy in eV/atom, matching the order above: -70.08, -69.68, -69.91, -69.70, -69.99, -69.65